A plane-wave DFT calculation with PBE was carried out for an optimized crystal structure of Li2Mg4In5.

a b c (Å): 5.167 5.683 9.103
angles (deg): 98.24 108.83 88.95
Atoms (fractional coordinates):
Li 0.416 0.440 0.832
Li 0.584 0.560 0.168
Mg 0.323 0.897 0.648
Mg 0.947 0.730 0.898
Mg 0.677 0.103 0.352
Mg 0.053 0.270 0.102
In 0.758 0.654 0.517
In 0.242 0.346 0.483
In 0.866 0.205 0.733
In 0.500 0.000 0.000
In 0.134 0.795 0.267

Computed properties:
Spin magnetization (Bohr magnetons per cell): 0.000
E_form (meV per atom): -111